{"formula": "LiVHg3", "functional": "PBE", "state": "relaxed", "de_polymorph_kj_per_mol_atoms": 13.3, "lattice": [[4.780, 0.000, 0.000], [0.000, 4.780, 0.000], [0.000, 0.000, 4.780]], "species": ["Li", "V", "Hg", "Hg", "Hg"], "frac_coords": [[0.000, 0.000, 0.000], [0.500, 0.500, 0.500], [0.000, 0.000, 0.500], [0.000, 0.500, 0.000], [0.500, 0.000, 0.000]]}


{"formula": "LiVHg2", "functional": "PBE", "state": "relaxed", "lattice": [[-2.144, 2.144, 9.574], [2.144, -2.144, 9.574], [2.144, 2.144, -9.574]], "species": ["Li", "Li", "V", "V", "Hg", "Hg", "Hg", "Hg"], "frac_coords": [[0.000, 0.000, 0.000], [0.750, 0.250, 0.500], [0.250, 0.750, 0.500], [0.500, 0.500, 0.000], [0.121, 0.625, 0.996], [0.375, 0.371, 0.496], [0.629, 0.125, 0.004], [0.875, 0.879, 0.504]]}


{"formula": "LiVHg2", "functional": "PBE", "state": "relaxed", "lattice": [[4.857, 0.000, 0.000], [0.000, 4.857, 0.000], [0.000, 0.000, 3.049]], "species": ["Li", "V", "Hg", "Hg"], "frac_coords": [[0.000, 0.000, 0.000], [0.500, 0.500, 0.000], [0.000, 0.500, 0.500], [0.500, 0.000, 0.500]]}


{"formula": "LiV2Hg", "functional": "PBE", "state": "relaxed", "lattice": [[-3.683, 3.683, 2.382], [3.683, -3.683, 2.382], [3.683, 3.683, -2.382]], "species": ["Li", "Li", "V", "V", "V", "V", "Hg", "Hg"], "frac_coords": [[0.000, 0.000, 0.000], [0.750, 0.250, 0.500], [0.121, 0.625, 0.996], [0.375, 0.371, 0.496], [0.629, 0.125, 0.004], [0.875, 0.879, 0.504], [0.250, 0.750, 0.500], [0.500, 0.500, 0.000]]}


Number 1: calculated formation energy 537 meV per atom. Number 2: calculated formation energy 447 meV per atom. Number 3: calculated formation energy 18 meV per atom. Number 4: calculated formation energy 698 meV per atom.